Record 1
A plane-wave DFT calculation with PBE-GGA was carried out for an optimized crystal structure of ZnBAs2Br.

- Excess energy over the best structure of this formula in the dataset: 0.540 eV/atom
- Raw formation energy: 1.363 eV/atom
- Crystal system: tetragonal
- Total energy: -2.42 eV per atom
- SG: P4/mmm, No. 123

Lattice parameters (Å, degrees): 4.7704 4.7704 5.4722 90.00 90.00 90.00
Atoms (fractional coordinates):
As: 0.0000 0.5000 0.0000
As: 0.5000 0.0000 0.0000
B: 0.5000 0.5000 0.5000
Br: 0.0000 0.0000 0.5000
Zn: 0.0000 0.0000 0.0000

---

Record 2
A plane-wave DFT calculation with PBE-GGA was carried out for an optimized crystal structure of ZnBAs2Br.

- Excess energy over the best structure of this formula in the dataset: 0.000 eV/atom
- Raw formation energy: 0.823 eV/atom
- Crystal system: tetragonal
- Total energy: -2.96 eV per atom
- SG: P4/mmm, No. 123

Lattice parameters (Å, degrees): 4.3453 4.3453 5.1950 90.00 90.00 90.00
Atoms (fractional coordinates):
As: 0.0000 0.5000 0.0000
As: 0.5000 0.0000 0.0000
Br: 0.0000 0.0000 0.5000
Zn: 0.5000 0.5000 0.5000
B: 0.0000 0.0000 0.0000

---

Record 3
A plane-wave DFT calculation with PBE-GGA was carried out for an optimized crystal structure of ZnBAsBr2.

- Excess energy over the best structure of this formula in the dataset: 0.000 eV/atom
- Raw formation energy: 0.703 eV/atom
- Crystal system: tetragonal
- Total energy: -2.49 eV per atom
- SG: P4/mmm, No. 123

Lattice parameters (Å, degrees): 4.6821 4.6821 4.6467 90.00 90.00 90.00
Atoms (fractional coordinates):
As: 0.0000 0.0000 0.5000
Br: 0.5000 0.0000 0.0000
Br: 0.0000 0.5000 0.0000
Zn: 0.5000 0.5000 0.5000
B: 0.0000 0.0000 0.0000

---

Record 4
A plane-wave DFT calculation with PBE-GGA was carried out for an optimized crystal structure of ZnBAsBr2.

- Excess energy over the best structure of this formula in the dataset: 0.371 eV/atom
- Raw formation energy: 1.074 eV/atom
- Crystal system: tetragonal
- Total energy: -2.12 eV per atom
- SG: P4/mmm, No. 123

Lattice parameters (Å, degrees): 5.2024 5.2024 4.9185 90.00 90.00 90.00
Atoms (fractional coordinates):
Zn: 0.0000 0.0000 0.0000
As: 0.0000 0.0000 0.5000
Br: 0.5000 0.0000 0.0000
Br: 0.0000 0.5000 0.0000
B: 0.5000 0.5000 0.5000

---

Record 5
A plane-wave DFT calculation with PBE-GGA was carried out for an optimized crystal structure of ZrBAsBr2.

- Excess energy over the best structure of this formula in the dataset: 0.000 eV/atom
- Raw formation energy: 0.562 eV/atom
- Crystal system: tetragonal
- Total energy: -4.08 eV per atom
- SG: P4/mmm, No. 123

Lattice parameters (Å, degrees): 5.2893 5.2893 5.3381 90.00 90.00 90.00
Atoms (fractional coordinates):
As: 0.0000 0.0000 0.5000
Br: 0.5000 0.0000 0.0000
Br: 0.0000 0.5000 0.0000
B: 0.5000 0.5000 0.5000
Zr: 0.0000 0.0000 0.0000

---

Record 6
A plane-wave DFT calculation with PBE-GGA was carried out for an optimized crystal structure of ZrBAsBr2.

- Excess energy over the best structure of this formula in the dataset: 0.004 eV/atom
- Raw formation energy: 0.566 eV/atom
- Crystal system: tetragonal
- Total energy: -4.08 eV per atom
- SG: P4/mmm, No. 123

Lattice parameters (Å, degrees): 4.4903 4.4903 4.8255 90.00 90.00 90.00
Atoms (fractional coordinates):
B: 0.0000 0.0000 0.0000
Zr: 0.5000 0.5000 0.5000
As: 0.0000 0.0000 0.5000
Br: 0.5000 0.0000 0.0000
Br: 0.0000 0.5000 0.0000

---

Record 7
A plane-wave DFT calculation with PBE-GGA was carried out for an optimized crystal structure of B2AsC2.

- Excess energy over the best structure of this formula in the dataset: 0.000 eV/atom
- Crystal system: tetragonal
- Total energy: -6.31 eV per atom
- SG: I4/mmm, No. 139

Lattice parameters (Å, degrees): 2.8071 2.8071 6.3080 77.14 77.14 90.00
Atoms (fractional coordinates):
As: 0.0000 0.0000 0.0000
B: 0.2500 0.7500 0.5000
B: 0.7500 0.2500 0.5000
C: 0.6764 0.6764 0.6472
C: 0.3236 0.3236 0.3528

---

Record 8
A plane-wave DFT calculation with PBE-GGA was carried out for an optimized crystal structure of BAs3C.

- Excess energy over the best structure of this formula in the dataset: 0.000 eV/atom
- Crystal system: cubic
- Total energy: -4.22 eV per atom
- SG: Pm-3m, No. 221

Lattice parameters (Å, degrees): 4.3040 4.3040 4.3040 90.00 90.00 90.00
Atoms (fractional coordinates):
C: 0.0000 0.0000 0.0000
B: 0.5000 0.5000 0.5000
As: 0.0000 0.5000 0.0000
As: 0.5000 0.0000 0.0000
As: 0.0000 0.0000 0.5000